[1]
This record from the Alexandria database describes an optimized crystal structure of Ta2ZnP. The functional is GGA-PBE.

## Properties
magnetization: 0.00 μB/f.u.
calculated formation energy: -0.048 eV/atom

Cell lengths 4.4828, 4.4828, 3.1339 Å; angles 90.00, 90.00, 98.98 degrees
Closest atoms and distances in Å follow each position.
Fractional positions:
Zn 0.0000 0.0000 0.5000  8 Ta 2.73, 2 P 2.91
P 0.5000 0.5000 0.5000  8 Ta 2.73, 2 Zn 2.91
Ta 0.5000 0.0000 0.0000  4 Zn 2.73, 4 P 2.73, 2 Ta 2.91
Ta 0.0000 0.5000 0.0000  4 Zn 2.73, 4 P 2.73, 2 Ta 2.91


[2]
This record from the Alexandria database describes an optimized crystal structure of NdSm6Tl5. The functional is GGA-PBE.

## Properties
polymorph energy (0 for the lowest one): 0.096 eV/atom
magnetization: 0.00 μB/f.u.
calculated formation energy: -0.200 eV/atom

Cell lengths 6.2226, 10.5389, 7.9320 Å; angles 48.37, 79.96, 74.78 degrees
Closest atoms and distances in Å follow each position.
Fractional positions:
Tl 0.5000 0.8684 0.2632  1 Tl 3.12, 4 Sm 3.23-3.41, 2 Nd 3.48
Sm 0.7298 0.4649 0.6295  4 Tl 3.21-3.27, 1 Sm 3.44
Nd 0.0000 0.0000 0.0000  6 Tl 3.48-3.52, 6 Sm 3.58-3.71
Sm 0.7298 0.0944 0.3705  4 Tl 3.21-3.27, 1 Sm 3.44
Tl 0.0000 0.7032 0.5937  6 Sm 3.21-3.36, 1 Nd 3.52
Tl 0.5000 0.5000 0.0000  6 Sm 3.23-3.24
Tl 0.5000 0.1316 0.7368  1 Tl 3.12, 4 Sm 3.23-3.41, 2 Nd 3.48
Tl 0.0000 0.2968 0.4063  6 Sm 3.21-3.36, 1 Nd 3.52
Sm 0.2702 0.9056 0.6295  4 Tl 3.21-3.27, 1 Sm 3.44
Sm 0.2186 0.2823 0.0000  5 Tl 3.23-3.41, 1 Nd 3.58
Sm 0.7814 0.7177 0.0000  5 Tl 3.23-3.41, 1 Nd 3.58
Sm 0.2702 0.5351 0.3705  4 Tl 3.21-3.27, 1 Sm 3.44


[3]
This record from the Alexandria database describes an optimized crystal structure of TaTlAs2O. The functional is GGA-PBE.

## Properties
uncorrected formation energy: 0.692 eV per atom
magnetization: 0.00 μB/f.u.

Cell lengths 4.8923, 5.6684, 4.8923 Å; angles 90.00, 90.00, 90.00 degrees
Closest atoms and distances in Å follow each position.
Fractional positions:
As 0.0000 0.0000 0.5000  2 Ta 2.45
Tl 0.0000 0.5000 0.0000  2 Ta 2.83
O 0.5000 0.5000 0.5000  4 Tl 3.46, 8 As 3.74
Ta 0.0000 0.0000 0.0000  4 As 2.45
As 0.5000 0.0000 0.0000  2 Ta 2.45


[4]
This record from the Alexandria database describes an optimized crystal structure of LaAgAu. The functional is GGA-PBE.

## Properties
polymorph energy (0 for the lowest one): 0.106 eV/atom
magnetization: 0.00 μB/f.u.
calculated formation energy: -0.464 eV/atom

Cell lengths 4.9155, 4.9155, 4.9155 Å; angles 60.00, 60.00, 60.00 degrees
Closest atoms and distances in Å follow each position.
Fractional positions:
La 0.0000 0.0000 0.0000  4 Au 3.01
Au 0.7500 0.7500 0.7500  4 Ag 3.01, 4 La 3.01
Ag 0.5000 0.5000 0.5000  4 Au 3.01